# PBE-GGA Tb12Pm7Er, optimized geometry
# - D(E_F): 1.842 states/eV per atom
# - Excess energy over the best structure of this formula in the dataset: 0.000 eV/atom
# - E_form: 0.23 eV per atom
# - Space group: R-3 (148)
# - Raw total energy: -88.730 eV/cell
data_Tb12Pm7Er
_chemical_formula_sum 'Tb12 Pm7 Er1'
_cell_length_a 8.7965
_cell_length_b 8.7965
_cell_length_c 8.7965
_cell_angle_alpha 86.15
_cell_angle_beta 86.15
_cell_angle_gamma 86.15
_space_group_name_H-M_alt 'P 1'
_space_group_IT_number 1
_space_group_name_Hall 'P 1'
loop_
_atom_site_label
_atom_site_fract_x
_atom_site_fract_y
_atom_site_fract_z
Pm1 0.8465 0.6014 0.9209
Tb1 0.7279 0.8530 0.2510
Tb2 0.5037 0.3836 0.8656
Pm2 0.5000 0.5000 0.5000
Tb3 0.1344 0.4963 0.6164
Tb4 0.2510 0.7279 0.8530
Tb5 0.4963 0.6164 0.1344
Pm3 0.1535 0.3986 0.0791
Tb6 0.1470 0.7490 0.2721
Pm4 0.6014 0.9209 0.8465
Tb7 0.8530 0.2510 0.7279
Tb8 0.3836 0.8656 0.5037
Er1 0.0000 0.0000 0.0000
Tb9 0.6164 0.1344 0.4963
Tb10 0.7490 0.2721 0.1470
Tb11 0.2721 0.1470 0.7490
Pm5 0.9209 0.8465 0.6014
Pm6 0.0791 0.1535 0.3986
Pm7 0.3986 0.0791 0.1535
Tb12 0.8656 0.5037 0.3836